DFT (PBE) results for an optimized crystal structure of La2Os.

Summary:
Space-group type = Fm-3m
Energy of formation from the pure elements = -0.1230 eV per atom
Density = 8.92 g cm⁻³

Cell lengths 4.9763, 4.9763, 4.9763 Å; angles 60.00, 60.00, 60.00 degrees
Fractional coordinates of all 3 atoms:
Os  0.0000  0.0000  0.0000
La  0.7500  0.7500  0.7500
La  0.2500  0.2500  0.2500

DFT (PBE) results for an optimized crystal structure of KHoGaSe3.

Summary:
Space-group type = Cmcm
Density = 4.80 g cm⁻³
DFT total energy = -4.41 eV per atom

Cell lengths 7.5158, 7.5158, 10.8769 Å; angles 90.00, 90.00, 144.89 degrees
Fractional coordinates of all 12 atoms:
K  0.7491  0.2509  0.7500
K  0.2509  0.7491  0.2500
Se  0.6227  0.3773  0.0642
Se  0.3773  0.6227  0.9358
Se  0.0658  0.9342  0.7500
Se  0.6227  0.3773  0.4358
Se  0.9342  0.0658  0.2500
Se  0.3773  0.6227  0.5642
Ga  0.4853  0.5147  0.7500
Ga  0.5147  0.4853  0.2500
Ho  0.0000  0.0000  0.5000
Ho  0.0000  0.0000  0.0000

DFT (PBE) results for an optimized crystal structure of PmAlZn.

Summary:
Space-group type = F-43m
Density = 4.89 g cm⁻³
Energy above the lowest structure with this stoichiometry = 674 meV per atom

Cell lengths 4.8480, 4.8480, 4.8480 Å; angles 60.00, 60.00, 60.00 degrees
Fractional coordinates of all 3 atoms:
Zn  0.7500  0.7500  0.7500
Pm  0.0000  0.0000  0.0000
Al  0.2500  0.2500  0.2500

DFT (PBE) results for an optimized crystal structure of Er2Tm3LuTe2Os.

Summary:
Space-group type = Amm2
Density = 10.38 g cm⁻³
DFT total energy = -5.66 eV per atom

Cell lengths 4.0231, 8.2124, 8.2124 Å; angles 120.52, 90.00, 90.00 degrees
Fractional coordinates of all 9 atoms:
Lu  0.0000  0.3830  0.3830
Er  0.0000  0.6132  0.0002
Er  0.0000  0.0002  0.6132
Te  0.5000  0.3327  0.6673
Te  0.5000  0.6673  0.3327
Os  0.0000  0.0045  0.0045
Tm  0.5000  0.9994  0.2390
Tm  0.5000  0.2390  0.9994
Tm  0.5000  0.7607  0.7607

DFT (PBE) results for an optimized crystal structure of DyErZr.

Summary:
Space-group type = P-62m
Energy of formation from the pure elements = 0.0756 eV per atom
Density = 8.35 g cm⁻³
Energy above the lowest structure with this stoichiometry = 0 meV per atom

Cell lengths 9.1907, 9.1907, 3.4351 Å; angles 90.00, 90.00, 120.00 degrees
Fractional coordinates of all 9 atoms:
Er  0.7022  0.7022  0.0000
Er  0.0000  0.2978  0.0000
Er  0.2978  0.0000  0.0000
Zr  0.3333  0.6667  0.0000
Zr  0.0000  0.0000  0.5000
Zr  0.6667  0.3333  0.0000
Dy  0.0000  0.6344  0.5000
Dy  0.3656  0.3656  0.5000
Dy  0.6344  0.0000  0.5000

DFT (PBE) results for an optimized crystal structure of TbYIn4Pd2.

Summary:
Space-group type = Amm2
Density = 8.55 g cm⁻³
DFT total energy = -4.70 eV per atom

Cell lengths 7.6000, 5.7171, 5.7171 Å; angles 46.01, 90.00, 90.00 degrees
Fractional coordinates of all 8 atoms:
In  0.2998  0.1377  0.1377
In  0.7994  0.8624  0.8624
In  0.7002  0.1377  0.1377
In  0.2006  0.8624  0.8624
Y  0.5000  0.4274  0.4274
Tb  0.0000  0.5723  0.5723
Pd  0.5000  0.7127  0.7127
Pd  0.0000  0.2874  0.2874

DFT (PBE) results for an optimized crystal structure of NdBiPb2O6.

Summary:
Space-group type = R-3
Density = 8.96 g cm⁻³
Energy above the lowest structure with this stoichiometry = 0 meV per atom

Cell lengths 6.0362, 6.0362, 6.0362 Å; angles 61.30, 61.30, 61.30 degrees
Fractional coordinates of all 10 atoms:
Pb  0.7308  0.7308  0.7308
Pb  0.2692  0.2692  0.2692
O  0.1744  0.3507  0.7117
O  0.8256  0.6493  0.2883
O  0.2883  0.8256  0.6493
O  0.7117  0.1744  0.3507
O  0.6493  0.2883  0.8256
O  0.3507  0.7117  0.1744
Bi  0.5000  0.5000  0.5000
Nd  0.0000  0.0000  0.0000

DFT (PBE) results for an optimized crystal structure of LiSnAu2.

Summary:
Space-group type = I4/mmm
Density = 11.53 g cm⁻³
DFT total energy = -3.50 eV per atom

Cell lengths 4.7311, 6.6835, 14.1989 Å; angles 90.00, 90.00, 90.00 degrees
Fractional coordinates of all 24 atoms:
Au  0.0000  0.7500  0.1667
Au  0.0000  0.2500  0.5000
Au  0.0000  0.7500  0.5000
Au  0.5001  0.7500  0.3333
Au  0.5000  0.2500  0.0000
Au  0.5001  0.2500  0.3333
Au  0.0000  0.7500  0.8333
Au  0.0000  0.2500  0.1667
Au  0.0000  0.2500  0.8333
Au  0.4999  0.7500  0.6667
Au  0.4999  0.2500  0.6667
Au  0.5000  0.7500  0.0000
Sn  0.0000  0.5000  0.0000
Sn  0.9998  0.5000  0.6667
Sn  0.5002  0.0000  0.1667
Sn  0.0002  0.5000  0.3333
Sn  0.4998  0.0000  0.8333
Sn  0.5000  0.0000  0.5000
Li  0.5000  0.5000  0.5000
Li  0.0000  0.0000  0.3334
Li  0.0000  0.0000  0.6666
Li  0.0000  0.0000  0.0000
Li  0.5000  0.5000  0.8334
Li  0.5000  0.5000  0.1666

Question: The highest density belongs to which entry?
Answer: LiSnAu2

Question: Which value of density does entry 2 give?
Answer: 4.80 g cm⁻³